## YWO3 (PBE+U)

Data for an optimized crystal structure of YWO3.

The structure in POSCAR format:
```
YWO3
1.0
3.597 0.000 0.000
-1.799 3.115 0.000
0.000 0.000 12.712
Y W O
2 2 6
Cartesian
0.000 0.000 0.000
0.000 0.000 6.356
0.000 2.077 3.178
1.799 1.038 9.534
0.000 0.000 3.178
0.000 0.000 9.534
0.000 2.077 1.032
0.000 2.077 5.324
1.799 1.038 7.388
1.799 1.038 11.680
```

Properties
SG	P6_3/mmc
energy	-81.123	eV/cell